Here is a relaxed structure of Np2AlCo3P4 from the Alexandria database. Energies are from PBE.

E_form   -0.663 eV/atom
Density of states at the Fermi level   20.475 states/eV/cell
Final energy   -7.921 eV per atom
Crystal system   tetragonal
Magnetic moment   6.86 μB per formula unit

Cell: 3.950 3.950 9.285 Å, 90.00 90.00 90.00°
Positions (direct):
1 Np 0.000 0.500 0.237
2 Np 0.500 0.000 0.763
3 Al 0.000 0.000 0.500
4 Co 0.000 0.500 0.892
5 Co 0.500 0.000 0.108
6 Co 0.500 0.500 0.500
7 P 0.000 0.000 0.000
8 P 0.000 0.500 0.651
9 P 0.500 0.000 0.349
10 P 0.500 0.500 0.000